Computed, not measured: an optimized crystal structure of TcTeSN2 at the PBE level of DFT.

Summary:
- distance to the lowest polymorph of the same formula (eV per atom) = 1.265
- SG = P4/mmm, No. 123
- energy relative to the elements, uncorrected (eV/atom) = 1.8781

Cell lengths 3.622, 3.622, 6.988 Å; angles 90.00, 90.00, 90.00 degrees
Each line ends with the local moment (μB).
Element x y z (fractional)
S1 0.000 0.000 0.000  0.00
Tc1 0.500 0.500 0.500  1.64
N1 0.000 0.500 0.000  0.02
N2 0.500 0.000 0.000  0.02
Te1 0.000 0.000 0.500  0.01

=====

Computed, not measured: an optimized crystal structure of Pm3GaBr3 at the PBE level of DFT.

Summary:
- distance to the lowest polymorph of the same formula (eV per atom) = 0.000
- SG = I4_132, No. 214
- energy relative to the elements, uncorrected (eV/atom) = -1.3238

Cell lengths 10.389, 10.389, 10.389 Å; angles 109.47, 109.47, 109.47 degrees
Element x y z (fractional)
Pm1 0.758 0.008 0.017
Br1 0.750 0.995 0.505
Br2 0.495 0.990 0.745
Pm2 0.742 0.258 0.750
Pm3 0.250 0.242 0.258
Ga1 0.750 0.250 0.250
Pm4 0.758 0.750 0.242
Br3 0.245 0.995 0.990
Pm5 0.517 0.258 0.008
Br4 0.495 0.505 0.250
Pm6 0.250 0.008 0.492
Br5 0.245 0.250 0.755
Br6 0.010 0.505 0.755
Br7 0.255 0.510 0.505
Pm7 0.992 0.750 0.008
Br8 0.750 0.755 0.745
Br9 0.005 0.250 0.995
Ga2 0.000 0.000 0.250
Pm8 0.508 0.492 0.750
Br10 0.005 0.755 0.510
Br11 0.490 0.745 0.995
Pm9 0.992 0.242 0.483
Pm10 0.983 0.492 0.242
Br12 0.255 0.745 0.250
Ga3 0.750 0.500 0.000
Pm11 0.508 0.017 0.258
Pm12 0.742 0.483 0.492
Ga4 0.500 0.250 0.500

=====

Computed, not measured: an optimized crystal structure of NdPu2Au8 at the PBE level of DFT.

Summary:
- SG = C2/m, No. 12
- calculated formation energy (eV per formula unit) = -5.3

Cell lengths 5.253, 6.045, 8.693 Å; angles 110.78, 108.07, 88.67 degrees
Each line ends with the local moment (μB).
Element x y z (fractional)
Au1 0.856 0.639 0.736  0.01
Au2 0.144 0.361 0.264  0.01
Au3 0.879 0.097 0.736  0.01
Nd1 0.500 0.000 0.000  0.01
Pu1 0.315 0.315 0.630  5.23
Au4 0.702 0.202 0.404  0.01
Pu2 0.685 0.685 0.370  5.23
Au5 0.251 0.507 0.000  0.00
Au6 0.121 0.903 0.264  0.01
Au7 0.749 0.493 0.000  0.00
Au8 0.298 0.798 0.596  0.01